*P*
Here is K2BaRu after structural relaxation from the Alexandria database. Energies are from PBEsol.

The structure in POSCAR format:
```
K2BaRu
1.0
3.355 0.000 0.000
0.000 3.355 0.000
0.000 0.000 12.795
K Ba Ru
2 1 1
Direct
0.000 0.000 0.181
0.000 0.000 0.819
0.500 0.500 0.500
0.500 0.500 0.000
```

Results
* volume: 144.04 Å³/cell


*Q*
Here is K2BaRu after structural relaxation from the Alexandria database. Energies are from PBEsol.

The structure in POSCAR format:
```
K2BaRu
1.0
3.822 0.000 0.000
0.000 3.820 0.000
-0.015 0.000 10.975
K Ba Ru
2 1 1
Direct
0.000 0.000 0.000
0.497 0.500 0.357
0.998 0.000 0.676
0.499 0.500 0.793
```

Results
* volume: 160.25 Å³/cell


*R*
Here is K2BaRu after structural relaxation from the Alexandria database. Energies are from PBEsol.

The structure in POSCAR format:
```
K2BaRu
1.0
4.726 0.000 0.000
0.000 4.726 0.000
0.000 0.000 6.133
K Ba Ru
2 1 1
Direct
0.000 0.500 0.000
0.500 0.000 0.000
0.000 0.000 0.500
0.500 0.500 0.500
```

Results
* volume: 137.01 Å³/cell


The data favor *Q*; the next most stable structure lies 23.1 kJ/mol of atoms above it.


*P*
Here is KBa2Ru after structural relaxation from the Alexandria database. Energies are from PBEsol.

The structure in POSCAR format:
```
KBa2Ru
1.0
2.573 -2.726 0.000
2.573 2.726 0.000
0.000 0.000 11.278
K Ba Ru
1 2 1
Direct
0.000 0.000 0.000
0.500 0.500 0.340
0.500 0.500 0.660
0.000 0.000 0.500
```

Results
* volume: 158.18 Å³/cell


*Q*
Here is KBa2Ru after structural relaxation from the Alexandria database. Energies are from PBEsol.

The structure in POSCAR format:
```
KBa2Ru
1.0
4.629 0.000 0.000
0.000 2.680 7.539
0.000 -2.680 7.539
K Ba Ru
1 2 1
Direct
0.000 0.000 0.000
0.000 0.720 0.720
0.500 0.372 0.372
0.500 0.819 0.819
```

Results
* volume: 187.06 Å³/cell


The data favor *P*; the next most stable structure lies 16.5 kJ/mol of atoms above it.


*P*
Here is KBaSr2 after structural relaxation from the Alexandria database. Energies are from PBEsol.

The structure in POSCAR format:
```
KBaSr2
1.0
4.613 0.000 0.000
0.000 7.010 0.000
0.000 0.000 7.050
K Ba Sr
1 1 2
Direct
0.000 0.000 0.000
0.500 0.500 0.000
0.000 0.500 0.500
0.500 0.000 0.500
```

Results
* volume: 227.96 Å³/cell


*Q*
Here is KBaSr2 after structural relaxation from the Alexandria database. Energies are from PBEsol.

The structure in POSCAR format:
```
KBaSr2
1.0
4.161 0.000 0.000
0.000 6.905 0.000
-1.361 0.000 7.947
K Ba Sr
1 1 2
Direct
0.000 0.000 0.000
0.500 0.000 0.500
0.217 0.500 0.744
0.783 0.500 0.256
```

Results
* volume: 228.34 Å³/cell


*R*
Here is KBaSr2 after structural relaxation from the Alexandria database. Energies are from PBEsol.

The structure in POSCAR format:
```
KBaSr2
1.0
-3.024 3.024 6.280
3.024 -3.024 6.280
3.024 3.024 -6.280
K Ba Sr
1 1 2
Direct
0.000 0.000 0.000
0.500 0.500 0.000
0.250 0.750 0.500
0.750 0.250 0.500
```

Results
* volume: 229.65 Å³/cell


The data favor *Q*; the next most stable structure lies 1.0 kJ/mol of atoms above it.


*P*
Here is KBaSr2 after structural relaxation from the Alexandria database. Energies are from PBEsol.

The structure in POSCAR format:
```
KBaSr2
1.0
2.138 1.234 14.466
-2.138 1.234 14.466
0.000 -2.469 14.466
K Ba Sr
1 1 2
Direct
0.000 0.000 0.000
0.500 0.500 0.500
0.248 0.248 0.248
0.752 0.752 0.752
```

Results
* volume: 229.02 Å³/cell


*Q*
Here is KBaSr2 after structural relaxation from the Alexandria database. Energies are from PBEsol.

The structure in POSCAR format:
```
KBaSr2
1.0
0.000 4.868 4.868
4.868 0.000 4.868
4.868 4.868 0.000
K Ba Sr
1 1 2
Direct
0.000 0.000 0.000
0.500 0.500 0.500
0.250 0.250 0.250
0.750 0.750 0.750
```

Results
* volume: 230.73 Å³/cell


The data favor *P*; the next most stable structure lies 6.3 kJ/mol of atoms above it.


*P*
Here is KBaSr2 after structural relaxation from the Alexandria database. Energies are from PBEsol.

The structure in POSCAR format:
```
KBaSr2
1.0
2.371 -3.410 0.000
2.371 3.410 0.000
0.000 0.000 14.044
K Ba Sr
1 1 2
Direct
0.000 0.000 0.000
0.000 0.000 0.500
0.500 0.500 0.260
0.500 0.500 0.740
```

Results
* volume: 227.10 Å³/cell


*Q*
Here is KBaSr2 after structural relaxation from the Alexandria database. Energies are from PBEsol.

The structure in POSCAR format:
```
KBaSr2
1.0
4.203 -6.896 0.000
4.203 6.896 0.000
-1.388 0.000 3.936
K Ba Sr
1 1 2
Direct
0.000 0.000 0.000
0.500 0.500 0.000
0.000 0.500 0.500
0.500 0.000 0.500
```

Results
* volume: 228.13 Å³/cell


The data favor *P*; the next most stable structure lies 3.5 kJ/mol of atoms above it.


*P*
Here is KBaSr2 after structural relaxation from the Alexandria database. Energies are from PBEsol.

The structure in POSCAR format:
```
KBaSr2
1.0
-2.309 3.524 7.033
2.309 -3.524 7.033
2.309 3.524 -7.033
K Ba Sr
1 1 2
Direct
0.000 0.000 0.000
0.749 0.249 0.500
0.243 0.743 0.500
0.491 0.491 0.000
```

Results
* volume: 228.93 Å³/cell


*Q*
Here is KBaSr2 after structural relaxation from the Alexandria database. Energies are from PBEsol.

The structure in POSCAR format:
```
KBaSr2
1.0
4.173 0.000 0.000
0.000 6.880 0.000
-1.339 0.000 7.959
K Ba Sr
1 1 2
Direct
0.000 0.000 0.000
0.243 0.500 0.743
0.514 0.000 0.495
0.783 0.500 0.257
```

Results
* volume: 228.50 Å³/cell


*R*
Here is KBaSr2 after structural relaxation from the Alexandria database. Energies are from PBEsol.

The structure in POSCAR format:
```
KBaSr2
1.0
2.326 -3.449 0.000
2.326 3.449 0.000
0.000 0.000 14.188
K Ba Sr
1 1 2
Direct
0.000 0.000 0.000
0.500 0.500 0.735
0.000 0.000 0.494
0.500 0.500 0.259
```

Results
* volume: 227.61 Å³/cell


The data favor *R*; the next most stable structure lies 2.6 kJ/mol of atoms above it.


*P*
Here is KBaTc2 after structural relaxation from the Alexandria database. Energies are from PBEsol.

The structure in POSCAR format:
```
KBaTc2
1.0
2.817 0.000 0.000
0.000 2.817 0.000
0.000 0.000 11.234
K Ba Tc
1 1 2
Direct
0.000 0.000 0.000
0.000 0.000 0.500
0.500 0.500 0.254
0.500 0.500 0.746
```

Results
* volume: 89.18 Å³/cell


*Q*
Here is KBaTc2 after structural relaxation from the Alexandria database. Energies are from PBEsol.

The structure in POSCAR format:
```
KBaTc2
1.0
3.040 0.000 0.000
0.000 5.501 0.000
-0.014 0.000 6.958
K Ba Tc
1 1 2
Direct
0.000 0.000 0.000
0.000 0.000 0.500
0.499 0.500 0.349
0.501 0.500 0.651
```

Results
* volume: 116.38 Å³/cell


The data favor *Q*; the next most stable structure lies 36.2 kJ/mol of atoms above it.


*P*
Here is KBaZr2 after structural relaxation from the Alexandria database. Energies are from PBEsol.

The structure in POSCAR format:
```
KBaZr2
1.0
1.647 0.951 12.945
-1.647 0.951 12.945
0.000 -1.902 12.945
K Ba Zr
1 1 2
Direct
0.000 0.000 0.000
0.500 0.500 0.500
0.245 0.245 0.245
0.755 0.755 0.755
```

Results
* volume: 121.60 Å³/cell


*Q*
Here is KBaZr2 after structural relaxation from the Alexandria database. Energies are from PBEsol.

The structure in POSCAR format:
```
KBaZr2
1.0
0.000 3.961 3.961
3.961 0.000 3.961
3.961 3.961 0.000
K Ba Zr
1 1 2
Direct
0.000 0.000 0.000
0.250 0.250 0.250
0.500 0.500 0.500
0.750 0.750 0.750
```

Results
* volume: 124.31 Å³/cell


*R*
Here is KBaZr2 after structural relaxation from the Alexandria database. Energies are from PBEsol.

The structure in POSCAR format:
```
KBaZr2
1.0
3.395 0.000 0.000
0.000 5.526 0.000
0.000 0.000 6.347
K Ba Zr
1 1 2
Direct
0.000 0.000 0.000
0.500 0.500 0.000
0.000 0.500 0.500
0.500 0.000 0.500
```

Results
* volume: 119.06 Å³/cell


The data favor *P*; the next most stable structure lies 6.7 kJ/mol of atoms above it.


*P*
Here is BaLa2 after structural relaxation from the Alexandria database. Energies are from PBEsol.

The structure in POSCAR format:
```
BaLa2
1.0
6.054 0.000 0.000
-3.027 5.243 0.000
0.000 0.000 3.697
Ba La
1 2
Direct
0.000 0.000 0.000
0.333 0.667 0.500
0.667 0.333 0.500
```

Results
* volume: 117.35 Å³/cell


*Q*
Here is BaLa2 after structural relaxation from the Alexandria database. Energies are from PBEsol.

The structure in POSCAR format:
```
BaLa2
1.0
1.894 -10.428 0.000
1.894 10.428 0.000
0.000 0.000 6.070
Ba La
2 4
Direct
0.209 0.791 0.750
0.791 0.209 0.250
0.099 0.901 0.250
0.455 0.545 0.250
0.545 0.455 0.750
0.901 0.099 0.750
```

Results
* volume: 239.75 Å³/cell


The data favor *Q*; the next most stable structure lies 9.7 kJ/mol of atoms above it.


*P*
Here is BaLa5 after structural relaxation from the Alexandria database. Energies are from PBEsol.

The structure in POSCAR format:
```
BaLa5
1.0
6.536 0.000 0.000
-3.268 5.661 0.000
0.000 0.000 5.970
Ba La
1 5
Direct
0.000 0.000 0.000
0.000 0.375 0.500
0.333 0.667 0.000
0.375 0.000 0.500
0.625 0.625 0.500
0.667 0.333 0.000
```

Results
* volume: 220.91 Å³/cell


*Q*
Here is BaLa5 after structural relaxation from the Alexandria database. Energies are from PBEsol.

The structure in POSCAR format:
```
BaLa5
1.0
3.679 0.000 0.000
0.000 3.679 0.000
0.000 0.000 16.110
Ba La
1 5
Direct
0.000 0.000 0.000
0.000 0.000 0.343
0.000 0.000 0.657
0.500 0.500 0.195
0.500 0.500 0.500
0.500 0.500 0.805
```

Results
* volume: 218.09 Å³/cell


The data favor *Q*; the next most stable structure lies 6.0 kJ/mol of atoms above it.


*P*
Here is BaLa3Os after structural relaxation from the Alexandria database. Energies are from PBEsol.

The structure in POSCAR format:
```
BaLa3Os
1.0
5.702 0.000 0.000
0.000 5.702 0.000
0.000 0.000 5.702
Ba La Os
1 3 1
Direct
0.000 0.000 0.000
0.000 0.500 0.500
0.500 0.000 0.500
0.500 0.500 0.000
0.500 0.500 0.500
```

Results
* volume: 185.40 Å³/cell


*Q*
Here is BaLa3Os after structural relaxation from the Alexandria database. Energies are from PBEsol.

The structure in POSCAR format:
```
BaLa3Os
1.0
6.225 0.000 0.000
0.000 8.280 0.000
0.000 0.000 6.941
Ba La Os
2 6 2
Direct
0.250 0.000 0.180
0.750 0.000 0.820
0.250 0.254 0.669
0.250 0.500 0.160
0.250 0.746 0.669
0.750 0.254 0.331
0.750 0.500 0.840
0.750 0.746 0.331
0.000 0.500 0.500
0.500 0.500 0.500
```

Results
* volume: 357.74 Å³/cell


The data favor *Q*; the next most stable structure lies 5.3 kJ/mol of atoms above it.


*P*
Here is BaLaPt2 after structural relaxation from the Alexandria database. Energies are from PBEsol.

The structure in POSCAR format:
```
BaLaPt2
1.0
0.000 3.675 3.675
3.675 0.000 3.675
3.675 3.675 0.000
Ba La Pt
1 1 2
Direct
0.000 0.000 0.000
0.500 0.500 0.500
0.250 0.250 0.250
0.750 0.750 0.750
```

Results
* volume: 99.28 Å³/cell


*Q*
Here is BaLaPt2 after structural relaxation from the Alexandria database. Energies are from PBEsol.

The structure in POSCAR format:
```
BaLaPt2
1.0
3.677 0.000 0.000
0.000 3.677 0.000
0.000 0.000 7.499
Ba La Pt
1 1 2
Direct
0.000 0.000 0.000
0.000 0.000 0.500
0.500 0.500 0.293
0.500 0.500 0.707
```

Results
* volume: 101.41 Å³/cell


The data favor *Q*; the next most stable structure lies 11.7 kJ/mol of atoms above it.


*P*
Here is BaLaPt2 after structural relaxation from the Alexandria database. Energies are from PBEsol.

The structure in POSCAR format:
```
BaLaPt2
1.0
2.142 1.237 7.178
-2.142 1.237 7.178
0.000 -2.474 7.178
Ba La Pt
1 1 2
Direct
0.000 0.000 0.000
0.500 0.500 0.500
0.240 0.240 0.240
0.760 0.760 0.760
```

Results
* volume: 114.10 Å³/cell


*Q*
Here is BaLaPt2 after structural relaxation from the Alexandria database. Energies are from PBEsol.

The structure in POSCAR format:
```
BaLaPt2
1.0
4.502 0.000 0.000
0.000 2.024 5.842
0.000 -2.024 5.842
Ba La Pt
1 1 2
Direct
0.000 0.000 0.000
0.500 0.269 0.269
0.000 0.730 0.730
0.500 0.575 0.575
```

Results
* volume: 106.45 Å³/cell


The data favor *Q*; the next most stable structure lies 2.6 kJ/mol of atoms above it.